# Ho2LuNi | the Alexandria database | GGA-PBE | relaxed
data_Ho2LuNi
_chemical_formula_sum 'Ho2 Lu1 Ni1'
_cell_length_a 3.542
_cell_length_b 3.542
_cell_length_c 10.379
_cell_angle_alpha 80.17
_cell_angle_beta 80.17
_cell_angle_gamma 60.00
_space_group_name_H-M_alt 'P 1'
_space_group_IT_number 1
loop_
_space_group_symop_operation_xyz
'x,y,z'
loop_
_atom_site_label
_atom_site_type_symbol
_atom_site_fract_x
_atom_site_fract_y
_atom_site_fract_z
Ho1 Ho 0.890 0.890 0.330
Ho2 Ho 0.110 0.110 0.670
Ni1 Ni 0.500 0.500 0.500
Lu1 Lu 0.000 0.000 0.000
# - Space group: No. 166
# - ΔE_f: 0.0931 eV/atom
# - Energy above the lowest structure with this stoichiometry: 253 meV/atom